1.
Compound: NaAlTc2C
Source: Alexandria
Functional: PBEsol
Structure: optimized geometry

Output
Theoretical density   4756 kg/m³
Final energy   -4.024 eV/atom
DOS(E_F)   0.775 states/eV/atom
E_form   3.509 eV per atom
M_tot   0.79 μB per atom

Cell lengths 4.5121, 4.5121, 4.4241 Å; angles 90.00, 90.00, 90.00 degrees
With the nearest neighbours (Å) after each atom.
Space group P4/mmm (No. 123)
Asymmetric unit:
Na1 0.0000 0.0000 0.0000 x1  2 Al 2.21, 4 Tc 2.26
Al1 0.0000 0.0000 0.5000 x1  2 Na 2.21
Tc1 0.0000 0.5000 0.0000 x2  2 Na 2.26
C1 0.5000 0.5000 0.5000 x1  8 Tc 3.16, 4 Al 3.19



2.
Compound: HgAuCl2
Source: Alexandria
Functional: PBEsol
Structure: optimized geometry

Output
Theoretical density   9607 kg/m³
Uncorrected formation energy   166 meV per atom
Energy above the most stable polymorph in this dataset   0.2213 eV per atom
Final energy   -1.961 eV/atom
DOS(E_F)   0.550 states/eV/atom
M_tot   0.00 μB per atom

Cell lengths 3.2866, 3.2866, 7.4960 Å; angles 90.00, 90.00, 90.00 degrees
With the nearest neighbours (Å) after each atom.
Space group P4/mmm (No. 123)
Asymmetric unit:
Hg1 0.0000 0.0000 0.0000 x1  8 Cl 3.12, 4 Hg 3.29
Au1 0.0000 0.0000 0.5000 x1  8 Cl 2.86
Cl1 0.5000 0.5000 0.2776 x2  4 Au 2.86, 4 Hg 3.12



3.
Compound: NdSm3
Source: Alexandria
Functional: PBEsol
Structure: optimized geometry

Output
Theoretical density   7709 kg/m³
Energy above the most stable polymorph in this dataset   0.0213 eV per atom
Final energy   -5.085 eV/atom
DOS(E_F)   1.654 states/eV/atom
E_form   0.026 eV per atom
M_tot   0.00 μB per atom

Cell lengths 7.1621, 7.1621, 5.7730 Å; angles 90.00, 90.00, 120.00 degrees
With the nearest neighbours (Å) after each atom.
Space group P6_3/mmc (No. 194)
Asymmetric unit:
Nd1 0.3333 0.6667 0.2500 x2  12 Sm 3.55-3.58
Sm1 0.1666 0.3331 0.7500 x6  8 Sm 3.55-3.58, 4 Nd 3.55-3.58



4.
Compound: ZrB3Pd
Source: Alexandria
Functional: PBEsol
Structure: optimized geometry

Output
Theoretical density   5974 kg/m³
Energy above the most stable polymorph in this dataset   0.0000 eV per atom
Final energy   -6.348 eV/atom
DOS(E_F)   0.523 states/eV/atom
E_form   0.872 eV per atom
M_tot   0.00 μB per atom

Cell lengths 3.9991, 3.9991, 3.9991 Å; angles 90.00, 90.00, 90.00 degrees
With the nearest neighbours (Å) after each atom.
Space group Pm-3m (No. 221)
Asymmetric unit:
Zr1 0.0000 0.0000 0.0000 x1  12 B 2.83
B1 0.0000 0.5000 0.5000 x3  2 Pd 2.00
Pd1 0.5000 0.5000 0.5000 x1  6 B 2.00



5.
Compound: Ca2OsBr
Source: Alexandria
Functional: PBEsol
Structure: optimized geometry

Output
Theoretical density   6969 kg/m³
Uncorrected formation energy   461 meV per atom
Energy above the most stable polymorph in this dataset   0.8133 eV per atom
Final energy   -4.127 eV/atom
DOS(E_F)   1.164 states/eV/atom
M_tot   0.00 μB per atom

Cell lengths 6.9373, 6.9373, 6.9373 Å; angles 90.00, 90.00, 90.00 degrees
With the nearest neighbours (Å) after each atom.
Space group F-43m (No. 216)
Asymmetric unit:
Ca1 0.0000 0.0000 0.0000 x4  4 Br 3.00, 4 Ca 3.00
Ca2 0.2500 0.2500 0.2500 x4  4 Os 3.00, 4 Ca 3.00
Os1 0.0000 0.0000 0.5000 x4  4 Br 3.00, 4 Ca 3.00
Br1 0.2500 0.2500 0.7500 x4  4 Ca 3.00, 4 Os 3.00



6.
Compound: SiNiRh
Source: Alexandria
Functional: PBEsol
Structure: optimized geometry

Output
Theoretical density   7983 kg/m³
Uncorrected formation energy   -636 meV per atom
Final energy   -7.317 eV/atom
DOS(E_F)   0.496 states/eV/atom
M_tot   0.00 μB per atom

Cell lengths 5.4042, 5.4042, 5.4042 Å; angles 90.00, 90.00, 90.00 degrees
With the nearest neighbours (Å) after each atom.
Space group F-43m (No. 216)
Asymmetric unit:
Si1 0.0000 0.0000 0.0000 x4  4 Ni 2.34, 4 Rh 2.34
Ni1 0.2500 0.2500 0.2500 x4  4 Si 2.34
Rh1 0.2500 0.2500 0.7500 x4  4 Si 2.34



7.
Compound: AgPAu
Source: Alexandria
Functional: PBEsol
Structure: optimized geometry

Output
Theoretical density   11457 kg/m³
Final energy   -4.091 eV/atom
DOS(E_F)   0.293 states/eV/atom
E_form   0.252 eV per atom
M_tot   0.00 μB per atom

Cell lengths 2.8163, 2.8163, 12.2720 Å; angles 90.00, 90.00, 90.00 degrees
With the nearest neighbours (Å) after each atom.
Space group I4mm (No. 107)
Asymmetric unit:
Ag1 0.0000 0.0000 0.0000 x2  4 P 2.81, 4 Ag 2.82, 4 Au 2.92
P1 0.0000 0.0000 0.3386 x2  4 Ag 2.81, 4 P 2.82, 4 Au 2.83
Au1 0.0000 0.0000 0.6745 x2  4 Au 2.82, 4 P 2.83, 4 Ag 2.92



8.
Compound: IrPtCl2
Source: Alexandria
Functional: PBEsol
Structure: optimized geometry

Output
Theoretical density   12257 kg/m³
Uncorrected formation energy   644 meV per atom
Energy above the most stable polymorph in this dataset   0.6205 eV per atom
Final energy   -4.556 eV/atom
DOS(E_F)   0.795 states/eV/atom
M_tot   0.00 μB per atom

Cell lengths 2.8368, 4.1527, 5.2695 Å; angles 90.00, 90.00, 90.00 degrees
With the nearest neighbours (Å) after each atom.
Space group Pmmm (No. 47)
Asymmetric unit:
Ir1 0.0000 0.0000 0.0000 x1  4 Cl 2.51
Pt1 0.5000 0.0000 0.5000 x1  4 Cl 2.51
Cl1 0.0000 0.5000 0.5000 x1  4 Pt 2.51
Cl2 0.5000 0.5000 0.0000 x1  4 Ir 2.51



9.
Compound: LiCo5
Source: Alexandria
Functional: PBEsol
Structure: optimized geometry

Output
Theoretical density   8125 kg/m³
Energy above the most stable polymorph in this dataset   0.0000 eV per atom
Final energy   -6.662 eV/atom
DOS(E_F)   0.761 states/eV/atom
E_form   0.114 eV per atom
M_tot   1.25 μB per atom

Cell lengths 4.2156, 4.2156, 4.0053 Å; angles 90.00, 90.00, 120.00 degrees
With the nearest neighbours (Å) after each atom.
Space group P-62m (No. 189)
Asymmetric unit:
Li1 0.0000 0.0000 0.0000 x1  12 Co 2.43-2.45
Co1 0.0000 0.3334 0.5000 x3  10 Co 2.43-2.45, 2 Li 2.45
Co2 0.3333 0.6667 0.0000 x2  3 Li 2.43, 9 Co 2.43-2.45



10.
Compound: Mn2CoPt
Source: Alexandria
Functional: PBEsol
Structure: optimized geometry

Output
Theoretical density   13040 kg/m³
Final energy   -8.585 eV/atom
DOS(E_F)   1.126 states/eV/atom
E_form   -0.029 eV per atom
M_tot   0.70 μB per atom

Cell lengths 3.5731, 3.5731, 7.2592 Å; angles 90.00, 90.00, 90.00 degrees
With the nearest neighbours (Å) after each atom.
Space group I4/mmm (No. 139)
Asymmetric unit:
Mn1 0.0000 0.5000 0.2500 x4  4 Mn 2.53, 4 Co 2.55, 4 Pt 2.55
Co1 0.0000 0.0000 0.0000 x2  4 Pt 2.53, 8 Mn 2.55
Pt1 0.0000 0.0000 0.5000 x2  4 Co 2.53, 8 Mn 2.55



11.
Compound: AgGePt3
Source: Alexandria
Functional: PBEsol
Structure: optimized geometry

Output
Theoretical density   13291 kg/m³
Energy above the most stable polymorph in this dataset   0.0000 eV per atom
Final energy   -5.247 eV/atom
DOS(E_F)   0.837 states/eV/atom
E_form   0.581 eV per atom
M_tot   0.00 μB per atom

Cell lengths 4.5736, 4.5736, 4.5736 Å; angles 90.00, 90.00, 90.00 degrees
With the nearest neighbours (Å) after each atom.
Space group Pm-3m (No. 221)
Asymmetric unit:
Ag1 0.0000 0.0000 0.0000 x1  12 Pt 3.23
Ge1 0.5000 0.5000 0.5000 x1  6 Pt 2.29
Pt1 0.0000 0.5000 0.5000 x3  2 Ge 2.29



12.
Compound: Ta2GaHgIr
Source: Alexandria
Functional: PBEsol
Structure: optimized geometry

Output
Theoretical density   12400 kg/m³
Final energy   -5.644 eV/atom
DOS(E_F)   0.909 states/eV/atom
E_form   2.122 eV per atom
M_tot   0.00 μB per atom

Cell lengths 4.9852, 4.9852, 4.4423 Å; angles 90.00, 90.00, 90.00 degrees
With the nearest neighbours (Å) after each atom.
Space group P4/mmm (No. 123)
Asymmetric unit:
Ta1 0.0000 0.5000 0.0000 x2  2 Hg 2.49
Ga1 0.0000 0.0000 0.5000 x1  2 Hg 2.22
Hg1 0.0000 0.0000 0.0000 x1  2 Ga 2.22
Ir1 0.5000 0.5000 0.5000 x1  8 Ta 3.34, 4 Ga 3.53



13.
Compound: NaV3S2O14
Source: Alexandria
Functional: PBEsol
Structure: optimized geometry

Output
Theoretical density   3119 kg/m³
Uncorrected formation energy   -1873 meV per atom
Final energy   -7.501 eV/atom
DOS(E_F)   0.000 states/eV/atom
M_tot   0.00 μB per atom

Cell lengths 6.9322, 6.9322, 17.8043 Å; angles 90.00, 90.00, 120.00 degrees
With the nearest neighbours (Å) after each atom.
Space group R32 (No. 155, hexagonal axes)
Asymmetric unit:
Na1 0.0000 0.0000 0.0000 x3  12 O 2.82-2.99
V1 0.0000 0.4543 0.5000 x9  2 O 1.66
S1 0.0000 0.0000 0.3020 x6  4 O 1.42-1.52
O1 0.0000 0.0000 0.3818 x6  1 S 1.42
O2 0.0835 0.5455 0.8120 x18  1 V 1.66
O3 0.0983 0.5423 0.3956 x18  1 S 1.52



14.
Compound: VF5
Source: Alexandria
Functional: PBEsol
Structure: optimized geometry

Output
Theoretical density   2756 kg/m³
Uncorrected formation energy   -2690 meV per atom
Final energy   -5.901 eV/atom
DOS(E_F)   0.000 states/eV/atom
M_tot   0.00 μB per atom

Cell lengths 6.2210, 6.2210, 4.5443 Å; angles 90.00, 90.00, 90.00 degrees
With the nearest neighbours (Å) after each atom.
Space group P4/n (No. 85, origin choice 2)
Asymmetric unit:
V1 0.2500 0.2500 0.1397 x2  5 F 1.70-1.74
F1 0.0087 0.6693 0.7639 x8  1 V 1.74
F2 0.2500 0.2500 0.7648 x2  1 V 1.70



15.
Compound: Rb2CaAgPd
Source: Alexandria
Functional: PBEsol
Structure: optimized geometry

Output
Theoretical density   3600 kg/m³
Final energy   -2.271 eV/atom
DOS(E_F)   0.363 states/eV/atom
E_form   0.420 eV per atom
M_tot   0.00 μB per atom

Cell lengths 6.1044, 6.1044, 5.2650 Å; angles 90.00, 90.00, 90.00 degrees
With the nearest neighbours (Å) after each atom.
Space group P4/mmm (No. 123)
Asymmetric unit:
Rb1 0.0000 0.5000 0.0000 x2  2 Pd 3.05
Ca1 0.0000 0.0000 0.5000 x1  8 Rb 4.03, 4 Ag 4.32
Ag1 0.5000 0.5000 0.5000 x1  2 Pd 2.63
Pd1 0.5000 0.5000 0.0000 x1  2 Ag 2.63



16.
Compound: MgSc4Co
Source: Alexandria
Functional: PBEsol
Structure: optimized geometry

Output
Theoretical density   3443 kg/m³
Final energy   -5.432 eV/atom
DOS(E_F)   1.221 states/eV/atom
E_form   0.547 eV per atom
M_tot   0.29 μB per atom

Cell lengths 7.9768, 7.9768, 7.9768 Å; angles 90.00, 90.00, 90.00 degrees
With the nearest neighbours (Å) after each atom.
Space group F-43m (No. 216)
Asymmetric unit:
Mg1 0.0000 0.0000 0.0000 x4  12 Sc 3.31, 4 Co 3.45
Sc1 0.1238 0.1238 0.3762 x16  6 Sc 2.79-2.85
Co1 0.2500 0.2500 0.7500 x4  12 Sc 3.30, 4 Mg 3.45



17.
Compound: Tl2Pt2Se
Source: Alexandria
Functional: PBEsol
Structure: optimized geometry

Output
Theoretical density   13665 kg/m³
Uncorrected formation energy   373 meV per atom
Final energy   -4.234 eV/atom
DOS(E_F)   0.493 states/eV/atom
M_tot   0.00 μB per atom

Cell lengths 4.1660, 4.1660, 12.2933 Å; angles 90.00, 90.00, 90.00 degrees
With the nearest neighbours (Å) after each atom.
Space group I4/mmm (No. 139)
Asymmetric unit:
Tl1 0.0000 0.5000 0.2500 x4  4 Pt 2.75, 4 Tl 2.95
Pt1 0.0000 0.0000 0.1042 x4  1 Pt 2.56, 4 Tl 2.75
Se1 0.0000 0.0000 0.5000 x2  8 Pt 3.21



18.
Compound: RbLaB2
Source: Alexandria
Functional: PBEsol
Structure: optimized geometry

Output
Theoretical density   4213 kg/m³
Final energy   -3.628 eV/atom
DOS(E_F)   0.762 states/eV/atom
E_form   1.473 eV per atom
M_tot   0.00 μB per atom

Cell lengths 4.6194, 4.6194, 18.1743 Å; angles 90.00, 90.00, 90.00 degrees
With the nearest neighbours (Å) after each atom.
Space group I4_1/amd (No. 141, origin choice 2)
Asymmetric unit:
Rb1 0.0000 0.2500 0.3750 x4  4 La 3.27, 8 B 3.44
La1 0.0000 0.2500 0.8750 x4  4 B 2.55
B1 0.0000 0.0000 0.0000 x8  2 B 2.31, 2 La 2.55



19.
Compound: Er2CdPd2
Source: Alexandria
Functional: PBEsol
Structure: optimized geometry

Output
Theoretical density   10658 kg/m³
Final energy   -5.406 eV/atom
DOS(E_F)   0.578 states/eV/atom
E_form   -0.813 eV per atom
M_tot   0.00 μB per atom

Cell lengths 7.5433, 7.5433, 3.6130 Å; angles 90.00, 90.00, 90.00 degrees
With the nearest neighbours (Å) after each atom.
Space group P4/mbm (No. 127)
Asymmetric unit:
Er1 0.1708 0.3292 0.0000 x4  6 Pd 2.79-2.91
Cd1 0.0000 0.0000 0.5000 x2  4 Pd 2.96
Pd1 0.1295 0.6295 0.5000 x4  1 Pd 2.76, 6 Er 2.79-2.91, 2 Cd 2.96



20.
Compound: GaBP2Cl
Source: Alexandria
Functional: PBEsol
Structure: optimized geometry

Output
Theoretical density   2859 kg/m³
Uncorrected formation energy   1428 meV per atom
Final energy   -3.361 eV/atom
DOS(E_F)   0.711 states/eV/atom
M_tot   0.15 μB per atom

Cell lengths 4.6326, 4.6326, 4.8156 Å; angles 90.00, 90.00, 90.00 degrees
With the nearest neighbours (Å) after each atom.
Space group P4/mmm (No. 123)
Asymmetric unit:
Ga1 0.0000 0.0000 0.0000 x1  4 P 2.32, 2 Cl 2.41
B1 0.5000 0.5000 0.5000 x1  4 Cl 3.28, 8 P 3.34
P1 0.0000 0.5000 0.0000 x2  2 Ga 2.32
Cl1 0.0000 0.0000 0.5000 x1  2 Ga 2.41